## Mn2TlBiO6 (PBE+U)

Data for Mn2TlBiO6 after structural relaxation.

Summary:
space group: R3 (146)
calculated volume: 125.81 Å³/cell
M_tot: 8.0 μB/f.u.
raw total energy: -6.323 eV/atom

Unit cell a=5.687 b=5.687 c=5.687 alpha=58.58 beta=58.58 gamma=58.58
Atoms (fractional coordinates):
Mn 0.000 0.000 0.000
Mn 0.499 0.499 0.499
Tl 0.222 0.222 0.222
Bi 0.722 0.722 0.722
O 0.177 0.761 0.341
O 0.288 0.639 0.851
O 0.341 0.177 0.761
O 0.639 0.851 0.288
O 0.761 0.341 0.177
O 0.851 0.288 0.639